Record 1
VASP calculation (PBE) on a geometry-optimized MnSiRh2 structure.

The structure in CIF format:
```
data_MnSiRh2
_chemical_formula_sum 'Mn1 Si1 Rh2'
_space_group_name_H-M_alt 'P m m 2'
_space_group_IT_number 25
_space_group_name_Hall 'P 2 -2'
_cell_length_a 2.846
_cell_length_b 3.728
_cell_length_c 5.192
_cell_angle_alpha 90.00
_cell_angle_beta 90.00
_cell_angle_gamma 90.00
loop_
_atom_site_label
_atom_site_fract_x
_atom_site_fract_y
_atom_site_fract_z
Mn1 0.000 0.000 0.000
Si1 0.500 0.500 0.702
Rh1 0.000 0.000 0.519
Rh2 0.500 0.500 0.184
```

Output
- total magnetic moment (μB per formula unit) = 3.797
- uncorrected formation energy (eV per atom) = -0.358

---

Record 2
VASP calculation (PBE) on a geometry-optimized KIn3Cl6 structure.

The structure in CIF format:
```
data_KIn3Cl6
_chemical_formula_sum 'K2 In6 Cl12'
_space_group_name_H-M_alt 'P 1 21/c 1'
_space_group_IT_number 14
_space_group_name_Hall '-P 2ybc'
_cell_length_a 7.158
_cell_length_b 8.267
_cell_length_c 12.689
_cell_angle_alpha 90.00
_cell_angle_beta 122.00
_cell_angle_gamma 90.00
loop_
_atom_site_label
_atom_site_fract_x
_atom_site_fract_y
_atom_site_fract_z
K1 0.000 0.000 0.000
In1 0.204 0.068 0.727
In2 0.500 0.000 0.500
Cl1 0.171 0.161 0.475
Cl2 0.262 0.746 0.425
Cl3 0.384 0.066 0.276
```

Output
- total magnetic moment (μB per formula unit) = 0.000
- uncorrected formation energy (eV per atom) = -1.180

---

Record 3
VASP calculation (PBE) on a geometry-optimized SrMgBe3 structure.

The structure in CIF format:
```
data_SrMgBe3
_chemical_formula_sum 'Sr1 Mg1 Be3'
_space_group_name_H-M_alt 'P m -3 m'
_space_group_IT_number 221
_space_group_name_Hall '-P 4 2 3'
_cell_length_a 5.332
_cell_length_b 5.332
_cell_length_c 5.332
_cell_angle_alpha 90.00
_cell_angle_beta 90.00
_cell_angle_gamma 90.00
loop_
_atom_site_label
_atom_site_fract_x
_atom_site_fract_y
_atom_site_fract_z
Sr1 0.000 0.000 0.000
Mg1 0.500 0.500 0.500
Be1 0.000 0.000 0.500
```

Output
- ΔE to the lowest computed polymorph (meV/atom) = 1066
- total magnetic moment (μB per formula unit) = 0.000
- energy of formation (eV per atom) = 1.969

---

Record 4
VASP calculation (PBE) on a geometry-optimized HoSi4Ni12 structure.

The structure in CIF format:
```
data_HoSi4Ni12
_chemical_formula_sum 'Ho2 Si8 Ni24'
_space_group_name_H-M_alt 'I m -3'
_space_group_IT_number 204
_space_group_name_Hall '-I 2 2 3'
_cell_length_a 7.751
_cell_length_b 7.751
_cell_length_c 7.751
_cell_angle_alpha 90.00
_cell_angle_beta 90.00
_cell_angle_gamma 90.00
loop_
_atom_site_label
_atom_site_fract_x
_atom_site_fract_y
_atom_site_fract_z
Ho1 0.000 0.000 0.000
Si1 0.250 0.250 0.250
Ni1 0.000 0.350 0.159
```

Output
- total magnetic moment (μB per formula unit) = 0.000
- uncorrected formation energy (eV per atom) = -0.046